Entry 1:
# RbErSeCl2O3

Crystalline RbErSeCl2O3 at its relaxed geometry (PBEsol, Alexandria).

Cell lengths 6.4894, 6.9156, 17.2204 Å; angles 90.00, 105.58, 90.00 degrees
Space group P2_1/c (No. 14)
Unique sites:
Rb 0.2367 0.2022 0.0561 (multiplicity 4)
Er 0.1359 0.6510 0.2605 (multiplicity 4)
Se 0.3752 0.1555 0.2943 (multiplicity 4)
Cl 0.1150 0.6546 0.1073 (multiplicity 4)
Cl 0.2394 0.6345 0.4172 (multiplicity 4)
O 0.1799 0.1713 0.7574 (multiplicity 4)
O 0.1860 0.5265 0.7655 (multiplicity 4)
O 0.4940 0.6485 0.2783 (multiplicity 4)

Its density of states at the Fermi level is 0.00 states/eV/f.u. The calculation puts the energy relative to the elements, uncorrected at -195 kJ per mole of atoms.

Entry 2:
# RbEr2Cl7

Crystalline RbEr2Cl7 at its relaxed geometry (PBEsol, Alexandria).

Cell lengths 13.0729, 6.8028, 12.3647 Å; angles 90.00, 90.00, 90.00 degrees
Space group Pnma (No. 62)
Unique sites:
Rb 0.0413 0.2500 0.1954 (multiplicity 4)
Er 0.2388 0.2500 0.5402 (multiplicity 4)
Er 0.2477 0.2500 0.8429 (multiplicity 4)
Cl 0.1083 0.7500 0.1891 (multiplicity 4)
Cl 0.1230 0.0101 0.4227 (multiplicity 8)
Cl 0.1304 0.0100 0.9604 (multiplicity 8)
Cl 0.1752 0.0063 0.6930 (multiplicity 8)

Its density of states at the Fermi level is 0.00 states/eV/f.u. The calculation puts the energy relative to the elements, uncorrected at -218 kJ per mole of atoms.

Entry 3:
# Rb2ErCl5

Crystalline Rb2ErCl5 at its relaxed geometry (PBEsol, Alexandria).

Cell lengths 9.2858, 7.2078, 14.5419 Å; angles 90.00, 90.00, 90.00 degrees
Space group Pnma (No. 62)
Unique sites:
Rb 0.0319 0.2500 0.2083 (multiplicity 4)
Rb 0.1714 0.7500 0.4140 (multiplicity 4)
Er 0.1886 0.7500 0.0626 (multiplicity 4)
Cl 0.0000 0.0000 0.0000 (multiplicity 4)
Cl 0.0316 0.7500 0.2066 (multiplicity 4)
Cl 0.1495 0.5110 0.6132 (multiplicity 8)
Cl 0.2185 0.2500 0.3946 (multiplicity 4)

Its density of states at the Fermi level is 0.00 states/eV/f.u. The calculation puts the energy relative to the elements, uncorrected at -208 kJ per mole of atoms.

Entry 4:
# EuCl2

Crystalline EuCl2 at its relaxed geometry (PBEsol, Alexandria).

Cell lengths 7.3471, 4.3971, 8.8308 Å; angles 90.00, 90.00, 90.00 degrees
Space group Pnma (No. 62)
Unique sites:
Eu 0.2478 0.2500 0.1157 (multiplicity 4)
Cl 0.0229 0.2500 0.8349 (multiplicity 4)
Cl 0.1427 0.2500 0.4272 (multiplicity 4)

The calculation puts the energy relative to the elements, uncorrected at -229 kJ per mole of atoms.

Entry 5:
# EuCl2

Crystalline EuCl2 at its relaxed geometry (PBEsol, Alexandria).

Cell lengths 6.5881, 6.5881, 4.3210 Å; angles 90.00, 90.00, 90.00 degrees
Space group P4_2/mnm (No. 136)
Unique sites:
Eu 0.0000 0.0000 0.0000 (multiplicity 2)
Cl 0.1964 0.1964 0.5000 (multiplicity 4)

The calculation puts the energy relative to the elements, uncorrected at -224 kJ per mole of atoms.

Entry 6:
# Eu2H3Cl

Crystalline Eu2H3Cl at its relaxed geometry (PBEsol, Alexandria).

Cell lengths 3.9267, 3.9267, 6.5356 Å; angles 90.00, 90.00, 120.00 degrees
Space group P-3m1 (No. 164)
Unique sites:
Eu 0.3333 0.6667 0.2951 (multiplicity 2)
H 0.0000 0.0000 0.5000 (multiplicity 1)
H 0.3333 0.6667 0.6525 (multiplicity 2)
Cl 0.0000 0.0000 0.0000 (multiplicity 1)

Its density of states at the Fermi level is 13.36 states/eV/f.u. As for the energy: -0.48475 Ry per atom.

Entry 7:
# K2LiEuCl6

Crystalline K2LiEuCl6 at its relaxed geometry (PBEsol, Alexandria).

Cell lengths 10.2676, 10.2676, 10.2676 Å; angles 90.00, 90.00, 90.00 degrees
Space group Fm-3m (No. 225)
Unique sites:
K 0.2500 0.2500 0.2500 (multiplicity 8)
Li 0.0000 0.0000 0.0000 (multiplicity 4)
Eu 0.0000 0.0000 0.5000 (multiplicity 4)
Cl 0.0000 0.0000 0.2420 (multiplicity 24)

Its density of states at the Fermi level is 11.30 states/eV/f.u. The calculation puts the energy relative to the elements, uncorrected at -183 kJ per mole of atoms.

Entry 8:
# K2NaEuCl6

Crystalline K2NaEuCl6 at its relaxed geometry (PBEsol, Alexandria).

Cell lengths 10.6219, 10.6219, 10.6219 Å; angles 90.00, 90.00, 90.00 degrees
Space group Fm-3m (No. 225)
Unique sites:
K 0.2500 0.2500 0.2500 (multiplicity 8)
Na 0.0000 0.0000 0.0000 (multiplicity 4)
Eu 0.0000 0.0000 0.5000 (multiplicity 4)
Cl 0.0000 0.0000 0.2507 (multiplicity 24)

Its density of states at the Fermi level is 11.79 states/eV/f.u. The calculation puts the energy relative to the elements, uncorrected at -180 kJ per mole of atoms.

Entry 9:
# KRb2EuCl6

Crystalline KRb2EuCl6 at its relaxed geometry (PBEsol, Alexandria).

Cell lengths 11.1444, 11.1444, 11.1444 Å; angles 90.00, 90.00, 90.00 degrees
Space group Fm-3m (No. 225)
Unique sites:
K 0.0000 0.0000 0.0000 (multiplicity 4)
Rb 0.2500 0.2500 0.2500 (multiplicity 8)
Eu 0.0000 0.0000 0.5000 (multiplicity 4)
Cl 0.0000 0.0000 0.2617 (multiplicity 24)

Its density of states at the Fermi level is 12.40 states/eV/f.u. The calculation puts the energy relative to the elements, uncorrected at -184 kJ per mole of atoms.

Entry 10:
# Rb2LiEuCl6

Crystalline Rb2LiEuCl6 at its relaxed geometry (PBEsol, Alexandria).

Cell lengths 10.3279, 10.3279, 10.3279 Å; angles 90.00, 90.00, 90.00 degrees
Space group Fm-3m (No. 225)
Unique sites:
Rb 0.2500 0.2500 0.2500 (multiplicity 8)
Li 0.0000 0.0000 0.0000 (multiplicity 4)
Eu 0.0000 0.0000 0.5000 (multiplicity 4)
Cl 0.0000 0.0000 0.2427 (multiplicity 24)

Its density of states at the Fermi level is 11.30 states/eV/f.u. The calculation puts the energy relative to the elements, uncorrected at -186 kJ per mole of atoms.

Entry 11:
# Eu2SiCl2O3

Crystalline Eu2SiCl2O3 at its relaxed geometry (PBEsol, Alexandria).

Cell lengths 11.0280, 11.0280, 9.4193 Å; angles 90.00, 90.00, 90.00 degrees
Space group I4/m (No. 87)
Unique sites:
Eu 0.0803 0.7508 0.2255 (multiplicity 16)
Si 0.0980 0.1848 0.5000 (multiplicity 8)
Cl 0.0000 0.0000 0.2086 (multiplicity 4)
Cl 0.0000 0.5000 0.2500 (multiplicity 4)
Cl 0.1013 0.2450 0.0000 (multiplicity 8)
O 0.0516 0.8322 0.5000 (multiplicity 8)
O 0.1300 0.2477 0.3500 (multiplicity 16)

The calculation puts the energy relative to the elements, uncorrected at -267 kJ per mole of atoms.

Entry 12:
# EuTiClO3

Crystalline EuTiClO3 at its relaxed geometry (PBEsol, Alexandria).

Cell lengths 9.7318, 3.8901, 10.0651 Å; angles 90.00, 106.70, 90.00 degrees
Space group C2/m (No. 12)
Unique sites:
Eu 0.2185 0.0000 0.2008 (multiplicity 4)
Ti 0.1199 0.5000 0.4354 (multiplicity 4)
Cl 0.1115 0.0000 0.9012 (multiplicity 4)
O 0.0778 0.5000 0.6210 (multiplicity 4)
O 0.1474 0.5000 0.2582 (multiplicity 4)
O 0.1668 0.0000 0.4389 (multiplicity 4)

Its density of states at the Fermi level is 8.94 states/eV/f.u. The calculation puts the energy relative to the elements, uncorrected at -272 kJ per mole of atoms.

Entry 13:
# Eu3WCl3O6

Crystalline Eu3WCl3O6 at its relaxed geometry (PBEsol, Alexandria).

Cell lengths 9.1668, 9.1668, 5.2630 Å; angles 90.00, 90.00, 120.00 degrees
Space group P6_3/m (No. 176)
Unique sites:
Eu 0.0915 0.4034 0.2500 (multiplicity 6)
W 0.3333 0.6667 0.7500 (multiplicity 2)
Cl 0.0503 0.2410 0.7500 (multiplicity 6)
O 0.1593 0.6371 0.5154 (multiplicity 12)

Its density of states at the Fermi level is 22.58 states/eV/f.u. The calculation puts the energy relative to the elements, uncorrected at -240 kJ per mole of atoms.

Entry 14:
# Eu2PCl

Crystalline Eu2PCl at its relaxed geometry (PBEsol, Alexandria).

Cell lengths 4.1035, 4.1035, 5.7691 Å; angles 90.00, 90.00, 90.00 degrees
Space group P4/mmm (No. 123)
Unique sites:
Eu 0.0000 0.0000 0.0000 (multiplicity 1)
Eu 0.5000 0.5000 0.5000 (multiplicity 1)
P 0.0000 0.0000 0.5000 (multiplicity 1)
Cl 0.5000 0.5000 0.0000 (multiplicity 1)

Its density of states at the Fermi level is 9.55 states/eV/f.u. The calculation puts the energy relative to the elements, uncorrected at -162 kJ per mole of atoms.

Entry 15:
# Fe2Cl2F

Crystalline Fe2Cl2F at its relaxed geometry (PBEsol, Alexandria).

Cell lengths 3.7071, 3.7071, 11.2823 Å; angles 90.00, 90.00, 90.00 degrees
Space group I4/mmm (No. 139)
Unique sites:
Fe 0.0000 0.5000 0.2500 (multiplicity 4)
Cl 0.0000 0.0000 0.1251 (multiplicity 4)
F 0.0000 0.0000 0.5000 (multiplicity 2)

Its density of states at the Fermi level is 2.86 states/eV/f.u. The calculation puts the energy relative to the elements, uncorrected at -31 kJ per mole of atoms.

Entry 16:
# FeClF2

Crystalline FeClF2 at its relaxed geometry (PBEsol, Alexandria).

Cell lengths 5.7388, 5.7388, 5.7388 Å; angles 90.00, 90.00, 90.00 degrees
Space group Fm-3m (No. 225)
Unique sites:
Fe 0.0000 0.0000 0.0000 (multiplicity 4)
Cl 0.0000 0.0000 0.5000 (multiplicity 4)
F 0.2500 0.2500 0.2500 (multiplicity 8)

Its density of states at the Fermi level is 1.72 states/eV/f.u. The calculation puts the energy relative to the elements, uncorrected at -54 kJ per mole of atoms.

Entry 17:
# FeClO2F

Crystalline FeClO2F at its relaxed geometry (PBEsol, Alexandria).

Cell lengths 3.7036, 3.7036, 3.8430 Å; angles 90.00, 90.00, 90.00 degrees
Space group P4/mmm (No. 123)
Unique sites:
Fe 0.0000 0.0000 0.0000 (multiplicity 1)
Cl 0.5000 0.5000 0.5000 (multiplicity 1)
O 0.0000 0.5000 0.0000 (multiplicity 2)
F 0.0000 0.0000 0.5000 (multiplicity 1)

Its density of states at the Fermi level is 2.93 states/eV/f.u. The calculation puts the energy relative to the elements, uncorrected at -45 kJ per mole of atoms.

Entry 18:
# FeSCl2F

Crystalline FeSCl2F at its relaxed geometry (PBEsol, Alexandria).

Cell lengths 4.4694, 4.4694, 4.3293 Å; angles 90.00, 90.00, 90.00 degrees
Space group P4/mmm (No. 123)
Unique sites:
Fe 0.0000 0.0000 0.0000 (multiplicity 1)
S 0.0000 0.0000 0.5000 (multiplicity 1)
Cl 0.0000 0.5000 0.0000 (multiplicity 2)
F 0.5000 0.5000 0.5000 (multiplicity 1)

Its density of states at the Fermi level is 4.81 states/eV/f.u. The calculation puts the energy relative to the elements, uncorrected at -7 kJ per mole of atoms.

Entry 19:
# GaP2ClF

Crystalline GaP2ClF at its relaxed geometry (PBEsol, Alexandria).

Cell lengths 4.0672, 4.0672, 5.6197 Å; angles 90.00, 90.00, 90.00 degrees
Space group P4/mmm (No. 123)
Unique sites:
Ga 0.0000 0.0000 0.0000 (multiplicity 1)
P 0.0000 0.5000 0.5000 (multiplicity 2)
Cl 0.5000 0.5000 0.0000 (multiplicity 1)
F 0.5000 0.5000 0.5000 (multiplicity 1)

Its density of states at the Fermi level is 4.14 states/eV/f.u. The calculation puts the energy relative to the elements, uncorrected at 30 kJ per mole of atoms.